{"formula": "Pr8Tl5Ag", "functional": "PBE", "state": "relaxed", "lattice_angstrom": [[-4.8241, 4.8241, 4.8320], [4.8241, -4.8241, 4.8320], [4.8241, 4.8241, -4.8320]], "species": ["Pr", "Pr", "Pr", "Pr", "Pr", "Pr", "Pr", "Pr", "Tl", "Tl", "Tl", "Tl", "Tl", "Ag"], "fractional_positions": [[0.1233, 0.3749, 0.1020], [0.1324, 0.3783, 0.6085], [0.2729, 0.0214, 0.8980], [0.4761, 0.8676, 0.2459], [0.6217, 0.2302, 0.7541], [0.6251, 0.7271, 0.7484], [0.7698, 0.5239, 0.3915], [0.9786, 0.8767, 0.2516], [0.2500, 0.7500, 0.5000], [0.3777, 0.2488, 0.3743], [0.7512, 0.1254, 0.1289], [0.8746, 0.0034, 0.6257], [0.9966, 0.6223, 0.8711], [0.5000, 0.5000, 0.0000]], "vol_a3_per_cell": 449.79, "n_ef_per_ev_atom": 1.28, "density_g_cm3": 8.3, "total_energy_ev_per_cell": -56.45, "sg": "I-4 (82)", "formation_energy_ev_per_atom": -0.252}

***

{"formula": "Sr3LiPd", "functional": "PBE", "state": "relaxed", "lattice_angstrom": [[-3.2545, 3.2545, 12.3285], [3.2545, -3.2545, 12.3285], [3.2545, 3.2545, -12.3285]], "species": ["Sr", "Sr", "Sr", "Sr", "Sr", "Sr", "Li", "Li", "Pd", "Pd"], "fractional_positions": [[0.2193, 0.2193, 0.0000], [0.3689, 0.1269, 0.7580], [0.3689, 0.6108, 0.2420], [0.3892, 0.6311, 0.7580], [0.7807, 0.7807, 0.0000], [0.8731, 0.6311, 0.2420], [0.2500, 0.7500, 0.5000], [0.5000, 0.5000, 0.0000], [0.6953, 0.1953, 0.5000], [0.8047, 0.3047, 0.5000]], "vol_a3_per_cell": 522.31, "de_polymorph_mev_per_atom": 728, "n_ef_per_ev_atom": 1.39, "density_g_cm3": 2.4, "total_energy_ev_per_cell": -19.79, "sg": "I-4m2 (119)", "formation_energy_ev_per_atom": 0.452}

***

{"formula": "Pr2GePb", "functional": "PBE", "state": "relaxed", "lattice_angstrom": [[6.3184, 0.0000, 0.0000], [0.0000, 4.3020, 0.0000], [-2.7888, 0.0000, 8.6290]], "species": ["Pr", "Pr", "Pr", "Pr", "Ge", "Ge", "Pb", "Pb"], "fractional_positions": [[0.1861, 0.2500, 0.4200], [0.2776, 0.7500, 0.0574], [0.7224, 0.2500, 0.9426], [0.8139, 0.7500, 0.5800], [0.1133, 0.2500, 0.7960], [0.8867, 0.7500, 0.2040], [0.3842, 0.7500, 0.7069], [0.6158, 0.2500, 0.2931]], "vol_a3_per_cell": 234.55, "n_ef_per_ev_atom": 0.75, "density_g_cm3": 8.0, "total_energy_ev_per_cell": -41.20, "sg": "P2_1/m (11)", "formation_energy_ev_per_atom": -0.679}

***

{"formula": "Cd2Hg9Pb3", "functional": "PBE", "state": "relaxed", "lattice_angstrom": [[-1.8073, 5.4682, 9.8774], [1.8073, -5.4682, 9.8774], [1.8073, 5.4682, -9.8774]], "species": ["Cd", "Cd", "Hg", "Hg", "Hg", "Hg", "Hg", "Hg", "Hg", "Hg", "Hg", "Pb", "Pb", "Pb"], "fractional_positions": [[0.2294, 0.0000, 0.2294], [0.7706, 0.0000, 0.7706], [0.0000, 0.5000, 0.5000], [0.1249, 0.7596, 0.3652], [0.1760, 0.3805, 0.7955], [0.3944, 0.7596, 0.6348], [0.4150, 0.6195, 0.7955], [0.5850, 0.3805, 0.2045], [0.6056, 0.2404, 0.3652], [0.8240, 0.6195, 0.2045], [0.8751, 0.2404, 0.6348], [0.1349, 0.1349, 0.0000], [0.5000, 0.5000, 0.0000], [0.8651, 0.8651, 0.0000]], "vol_a3_per_cell": 390.46, "n_ef_per_ev_atom": 0.43, "density_g_cm3": 11.3, "total_energy_ev_per_cell": -14.82, "sg": "Immm (71)", "formation_energy_ev_per_atom": 0.061}